The following is a DFT calculation (PBE with a Hubbard U) of a relaxed structure of CoOF.

abc: 4.6703 2.8855 18.6318
angles: 90.00 96.12 90.00
Last column: nearest neighbours and their distance in Å.
Space group P2/m (No. 10)
Inequivalent atoms, fractional coordinates:
Co 0.0000 0.0000 0.0000 [1 per cell]  2 O 1.94, 4 F 2.07
Co 0.0000 0.0000 0.5000 [1 per cell]  4 O 1.88
Co 0.0729 0.0000 0.2442 [2 per cell]  4 O 1.85-1.86
Co 0.3999 0.5000 0.8775 [2 per cell]  3 O 1.83-1.85, 3 F 1.94-1.96
Co 0.4720 0.5000 0.6268 [2 per cell]  2 O 1.86, 4 F 1.92-1.93
O 0.1121 0.5000 0.8024 [2 per cell]  3 Co 1.83-1.85
O 0.1912 0.5000 0.5483 [2 per cell]  3 Co 1.86-1.88
O 0.2368 0.0000 0.9207 [2 per cell]  3 Co 1.85-1.94
O 0.2450 0.5000 0.2949 [2 per cell]  3 Co 1.86
F 0.2667 0.5000 0.0512 [2 per cell]  3 Co 1.94-2.07
F 0.2787 0.0000 0.6694 [2 per cell]  2 Co 1.92
F 0.3329 0.0000 0.4163 [2 per cell]  2 Co 1.93
F 0.4098 0.0000 0.1705 [2 per cell]  2 Co 1.96

As for the energy relative to the lowest polymorph listed for this composition: 96 meV per atom. As for the uncorrected energy: -0.19264 hartree per atom. Its total magnetization is 4.87 Bohr magnetons per cell.